Entry 1:
This record from Alexandria via LeMat-Bulk describes an optimized crystal structure of ZrScTaAl. The functional is PBE.

Cell and atoms, written as POSCAR:
```
ZrScTaAl
1.0
0.0000 3.4126 3.4126
3.4126 0.0000 3.4126
3.4126 3.4126 0.0000
Zr Sc Ta Al
1 1 1 1
Direct
0.0000 0.0000 0.0000
0.5000 0.5000 0.5000
0.7500 0.7500 0.7500
0.2500 0.2500 0.2500
```

## Properties
- Crystal system: cubic
- Calculated total energy: -0.281 hartree per atom
- Space group: No. 216

=====

Entry 2:
This record from Alexandria via LeMat-Bulk describes an optimized crystal structure of Tb5ScAl2. The functional is PBE.

Cell and atoms, written as POSCAR:
```
Tb5ScAl2
1.0
5.2234 0.0000 0.0000
-2.6117 4.5236 0.0000
0.0000 0.0000 19.4459
Tb Sc Al
10 2 4
Direct
0.0000 0.0000 0.1569
0.0000 0.0000 0.3431
0.0000 0.0000 0.6569
0.0000 0.0000 0.8431
0.3333 0.6667 0.0534
0.3333 0.6667 0.2500
0.3333 0.6667 0.4466
0.6667 0.3333 0.5534
0.6667 0.3333 0.7500
0.6667 0.3333 0.9466
0.3333 0.6667 0.7500
0.6667 0.3333 0.2500
0.3333 0.6667 0.6049
0.3333 0.6667 0.8951
0.6667 0.3333 0.1049
0.6667 0.3333 0.3951
```

## Properties
- Crystal system: hexagonal
- Calculated total energy: -0.173 hartree per atom
- Space group: No. 194

=====

Entry 3:
This record from Alexandria via LeMat-Bulk describes an optimized crystal structure of TbScAl2. The functional is PBE.

Cell and atoms, written as POSCAR:
```
TbScAl2
1.0
4.5694 0.0000 0.0000
0.0000 4.5694 0.0000
0.0000 0.0000 4.1374
Tb Sc Al
1 1 2
Direct
0.0000 0.0000 0.0000
0.5000 0.5000 0.0000
0.0000 0.5000 0.5000
0.5000 0.0000 0.5000
```

## Properties
- Crystal system: tetragonal
- Calculated total energy: -0.183 hartree per atom
- Space group: No. 123

=====

Entry 4:
This record from Alexandria via LeMat-Bulk describes an optimized crystal structure of TbSc6Al. The functional is PBE.

Cell and atoms, written as POSCAR:
```
TbSc6Al
1.0
3.4351 -5.6125 0.0000
3.4351 5.6125 0.0000
-3.3596 0.0000 5.2107
Tb Sc Al
1 6 1
Direct
0.0000 0.0000 0.0000
0.0435 0.4984 0.2570
0.2646 0.2646 0.7242
0.4984 0.0435 0.2570
0.5016 0.9565 0.7430
0.7355 0.7355 0.2758
0.9565 0.5016 0.7430
0.5000 0.5000 0.5000
```

## Properties
- Crystal system: monoclinic
- Calculated total energy: -0.203 hartree per atom
- Space group: No. 12

=====

Entry 5:
This record from Alexandria via LeMat-Bulk describes an optimized crystal structure of Tb2ScAl3. The functional is PBE.

Cell and atoms, written as POSCAR:
```
Tb2ScAl3
1.0
5.8616 -4.8328 0.0000
5.8616 4.8328 0.0000
0.0000 0.0000 5.1269
Tb Sc Al
4 2 6
Direct
0.0750 0.6472 0.7500
0.3528 0.9250 0.7500
0.6472 0.0750 0.2500
0.9250 0.3528 0.2500
0.3940 0.6060 0.2500
0.6060 0.3940 0.7500
0.0808 0.9192 0.2500
0.2956 0.2956 0.0000
0.2956 0.2956 0.5000
0.7044 0.7044 0.0000
0.7044 0.7044 0.5000
0.9192 0.0808 0.7500
```

## Properties
- Crystal system: orthorhombic
- Calculated total energy: -0.170 hartree per atom
- Space group: No. 63

=====

Entry 6:
This record from Alexandria via LeMat-Bulk describes an optimized crystal structure of Tb6Sc2Al. The functional is PBE.

Cell and atoms, written as POSCAR:
```
Tb6Sc2Al
1.0
9.9500 0.0000 0.0000
0.0000 9.9583 0.0000
0.0000 0.0000 5.2328
Tb Sc Al
12 4 2
Direct
0.0385 0.1874 0.0000
0.1234 0.6227 0.5000
0.1873 0.9603 0.5000
0.3127 0.4603 0.0000
0.3766 0.1227 0.0000
0.4615 0.6874 0.5000
0.5385 0.3126 0.5000
0.6234 0.8773 0.0000
0.6873 0.5397 0.0000
0.8127 0.0397 0.5000
0.8766 0.3773 0.5000
0.9615 0.8126 0.0000
0.2112 0.2877 0.5000
0.2888 0.7877 0.0000
0.7112 0.2123 0.0000
0.7888 0.7123 0.5000
0.0000 0.5000 0.0000
0.5000 0.0000 0.5000
```

## Properties
- Crystal system: orthorhombic
- Calculated total energy: -0.181 hartree per atom
- Space group: No. 58

=====

Entry 7:
This record from Alexandria via LeMat-Bulk describes an optimized crystal structure of TbSc2Al. The functional is PBE.

Cell and atoms, written as POSCAR:
```
TbSc2Al
1.0
1.6766 0.9680 10.0776
-1.6766 0.9680 10.0776
0.0000 -1.9360 10.0776
Tb Sc Al
1 2 1
Direct
0.0000 0.0000 0.0000
0.5722 0.5722 0.5722
0.7593 0.7593 0.7593
0.1655 0.1655 0.1655
```

## Properties
- Crystal system: trigonal
- Calculated total energy: -0.196 hartree per atom
- Space group: No. 160

=====

Entry 8:
This record from Alexandria via LeMat-Bulk describes an optimized crystal structure of TbScAl. The functional is PBE.

Cell and atoms, written as POSCAR:
```
TbScAl
1.0
5.0432 0.0000 0.0000
-2.5216 4.3675 0.0000
0.0000 0.0000 3.0672
Tb Sc Al
1 1 1
Direct
0.0000 0.0000 0.0000
0.6667 0.3333 0.0060
0.3333 0.6667 0.5021
```

## Properties
- Crystal system: trigonal
- Calculated total energy: -0.181 hartree per atom
- Space group: No. 156

=====

DOS(E_F) for the records above, in order: 4.81 19.39 3.03 13.06 11.34 28.64 5.83 3.48 states/eV/cell
Total magnetization for the records above, in order: 0.7 0.0 0.0 0.7 0.0 0.0 0.4 0.0 μB/f.u.
ΔH_f (0 K) for the records above, in order: -38 -79 -381 262 -160 -27 -67 -37 meV/atom